[1]
A relaxed GaRh4 crystal. Source: the Alexandria database, functional GGA-PBE.

a b c (Å): 4.4874 4.4874 4.4874
angles (deg): 90.00 90.00 90.00
Closest atoms and distances in Å follow each position.
Element x y z (fractional)
Ga 0.0000 0.0000 0.0000  6 Rh 2.24
Rh 0.0000 0.0000 0.5000  2 Ga 2.24
Rh 0.0000 0.5000 0.0000  2 Ga 2.24
Rh 0.5000 0.0000 0.0000  2 Ga 2.24
Rh 0.5000 0.5000 0.5000  12 Rh 3.17

Summary:
The symmetry is Pm-3m (221).

---

[2]
A relaxed GaRh crystal. Source: the Alexandria database, functional GGA-PBE.

a b c (Å): 5.0133 5.0133 5.0115
angles (deg): 90.00 90.00 90.00
Closest atoms and distances in Å follow each position.
Element x y z (fractional)
Ga 0.2174 0.2174 0.0000  6 Rh 2.51-2.53
Ga 0.2826 0.7174 0.5000  6 Rh 2.51-2.53
Ga 0.7174 0.2826 0.5000  6 Rh 2.51-2.53
Ga 0.7826 0.7826 0.0000  6 Rh 2.51-2.53
Rh 0.2167 0.2167 0.5000  6 Ga 2.51-2.53
Rh 0.2833 0.7167 0.0000  6 Ga 2.51-2.53
Rh 0.7167 0.2833 0.0000  6 Ga 2.51-2.53
Rh 0.7833 0.7833 0.5000  6 Ga 2.51-2.53

Summary:
The symmetry is P4_2/mnm (136).

---

[3]
A relaxed Ga3Rh2 crystal. Source: the Alexandria database, functional GGA-PBE.

a b c (Å): 4.6156 4.6156 6.8047
angles (deg): 122.40 122.40 38.12
Closest atoms and distances in Å follow each position.
Element x y z (fractional)
Ga 0.0000 0.0000 0.0000  4 Rh 2.62, 4 Ga 2.78
Ga 0.4097 0.4097 0.6053  5 Rh 2.61-2.63, 5 Ga 2.66-2.78
Ga 0.5903 0.5903 0.3947  5 Rh 2.61-2.63, 5 Ga 2.66-2.78
Rh 0.2026 0.2026 0.7706  7 Ga 2.61-2.63
Rh 0.7974 0.7974 0.2294  7 Ga 2.61-2.63

Summary:
The symmetry is C2/m (12).

---

[4]
A relaxed GaRh3 crystal. Source: the Alexandria database, functional GGA-PBE.

a b c (Å): 4.6499 4.6499 4.6499
angles (deg): 130.54 130.54 72.55
Closest atoms and distances in Å follow each position.
Element x y z (fractional)
Ga 0.0000 0.0000 0.0000  12 Rh 2.70-2.75
Rh 0.2500 0.7500 0.5000  8 Rh 2.70-2.75, 4 Ga 2.70
Rh 0.5000 0.5000 0.0000  8 Rh 2.70, 4 Ga 2.75
Rh 0.7500 0.2500 0.5000  8 Rh 2.70-2.75, 4 Ga 2.70

Summary:
The symmetry is I4/mmm (139).

---

[5]
A relaxed GaRh crystal. Source: the Alexandria database, functional GGA-PBE.

a b c (Å): 6.5383 6.5383 6.5383
angles (deg): 109.47 109.47 109.47
Closest atoms and distances in Å follow each position.
Element x y z (fractional)
Ga 0.0000 0.0000 0.6193  4 Rh 2.36-2.50
Ga 0.0000 0.6193 0.0000  4 Rh 2.36-2.50
Ga 0.3807 0.3807 0.3807  4 Rh 2.36-2.50
Ga 0.6193 0.0000 0.0000  4 Rh 2.36-2.50
Rh 0.0000 0.0000 0.2587  4 Ga 2.36-2.50
Rh 0.0000 0.2587 0.0000  4 Ga 2.36-2.50
Rh 0.2587 0.0000 0.0000  4 Ga 2.36-2.50
Rh 0.7413 0.7413 0.7413  4 Ga 2.36-2.50

Summary:
The symmetry is I-43m (217).

---

[6]
A relaxed Ga3Rh2 crystal. Source: the Alexandria database, functional GGA-PBE.

a b c (Å): 7.4722 7.4722 7.4722
angles (deg): 155.35 155.35 35.14
Closest atoms and distances in Å follow each position.
Element x y z (fractional)
Ga 0.0000 0.0000 0.0000  8 Rh 2.70, 2 Ga 2.80
Ga 0.1964 0.1964 0.0000  5 Rh 2.61-2.84, 5 Ga 2.72-2.80
Ga 0.8036 0.8036 0.0000  5 Rh 2.61-2.84, 5 Ga 2.72-2.80
Rh 0.3957 0.3957 0.0000  9 Ga 2.61-2.84
Rh 0.6043 0.6043 0.0000  9 Ga 2.61-2.84

Summary:
The symmetry is I4/mmm (139).

---

[7]
A relaxed GaRh crystal. Source: the Alexandria database, functional GGA-PBE.

a b c (Å): 3.9141 3.9141 3.9141
angles (deg): 60.00 60.00 60.00
Closest atoms and distances in Å follow each position.
Element x y z (fractional)
Ga 0.0000 0.0000 0.0000  4 Rh 2.40
Rh 0.7500 0.7500 0.7500  4 Ga 2.40

Summary:
The symmetry is F-43m (216).

---

[8]
A relaxed Ga5Rh3 crystal. Source: the Alexandria database, functional GGA-PBE.

a b c (Å): 5.0127 6.7133 7.9806
angles (deg): 100.98 104.58 101.14
Closest atoms and distances in Å follow each position.
Element x y z (fractional)
Ga 0.0416 0.4054 0.3463  5 Rh 2.53-2.69, 1 Ga 2.71
Ga 0.0845 0.3220 0.9505  4 Rh 2.50-2.67, 2 Ga 2.63-2.73
Ga 0.2235 0.9552 0.4601  4 Rh 2.46-2.70, 2 Ga 2.60-2.62
Ga 0.3156 0.0282 0.1273  6 Rh 2.54-2.66, 1 Ga 2.63
Ga 0.4512 0.3576 0.7263  5 Rh 2.57-2.79
Ga 0.5488 0.6424 0.2737  5 Rh 2.57-2.79
Ga 0.6844 0.9718 0.8727  6 Rh 2.54-2.66, 1 Ga 2.63
Ga 0.7765 0.0448 0.5399  4 Rh 2.46-2.70, 2 Ga 2.60-2.62
Ga 0.9155 0.6780 0.0495  4 Rh 2.50-2.67, 2 Ga 2.63-2.73
Ga 0.9584 0.5946 0.6537  5 Rh 2.53-2.69, 1 Ga 2.71
Rh 0.1560 0.9865 0.7756  7 Ga 2.46-2.66
Rh 0.3644 0.6731 0.9501  8 Ga 2.50-2.68
Rh 0.4540 0.6949 0.5783  8 Ga 2.48-2.74
Rh 0.5460 0.3051 0.4217  8 Ga 2.48-2.74
Rh 0.6356 0.3269 0.0499  8 Ga 2.50-2.68
Rh 0.8440 0.0135 0.2244  7 Ga 2.46-2.66

Summary:
The symmetry is P-1 (2).

---

[9]
A relaxed GaRh crystal. Source: the Alexandria database, functional GGA-PBE.

a b c (Å): 3.0376 3.0376 3.0376
angles (deg): 90.00 90.00 90.00
Closest atoms and distances in Å follow each position.
Element x y z (fractional)
Ga 0.0000 0.0000 0.0000  8 Rh 2.63
Rh 0.5000 0.5000 0.5000  8 Ga 2.63

Summary:
The symmetry is Pm-3m (221).

---

[10]
A relaxed Ga2RuRh2 crystal. Source: the Alexandria database, functional GGA-PBE.

a b c (Å): 6.2799 6.2799 6.2799
angles (deg): 145.49 145.49 49.60
Closest atoms and distances in Å follow each position.
Element x y z (fractional)
Ga 0.1054 0.1054 0.0000  1 Ga 2.40, 4 Rh 2.49
Ga 0.8946 0.8946 0.0000  1 Ga 2.40, 4 Rh 2.49
Ru 0.5000 0.5000 0.0000  8 Ga 2.90
Rh 0.2500 0.7500 0.5000  4 Ga 2.49, 4 Rh 2.63
Rh 0.7500 0.2500 0.5000  4 Ga 2.49, 4 Rh 2.63

Summary:
The symmetry is I4/mmm (139).

---

[11]
A relaxed Ga2RuRh2 crystal. Source: the Alexandria database, functional GGA-PBE.

a b c (Å): 7.1102 7.1102 2.8535
angles (deg): 90.00 90.00 90.00
Closest atoms and distances in Å follow each position.
Element x y z (fractional)
Ga 0.1407 0.3593 0.0000  6 Rh 2.47-2.57, 2 Ru 2.74
Ga 0.3593 0.8593 0.0000  6 Rh 2.47-2.57, 2 Ru 2.74
Ga 0.6407 0.1407 0.0000  6 Rh 2.47-2.57, 2 Ru 2.74
Ga 0.8593 0.6407 0.0000  6 Rh 2.47-2.57, 2 Ru 2.74
Ru 0.0000 0.0000 0.0000  4 Ga 2.74, 2 Ru 2.85, 8 Rh 3.03
Ru 0.5000 0.5000 0.0000  4 Ga 2.74, 2 Ru 2.85, 8 Rh 3.03
Rh 0.1593 0.6593 0.5000  6 Ga 2.47-2.57
Rh 0.3407 0.1593 0.5000  6 Ga 2.47-2.57
Rh 0.6593 0.8407 0.5000  6 Ga 2.47-2.57
Rh 0.8407 0.3407 0.5000  6 Ga 2.47-2.57

Summary:
The symmetry is P4/mbm (127).

---

[12]
A relaxed Ga6Ru5Rh crystal. Source: the Alexandria database, functional GGA-PBE.

a b c (Å): 7.4219 7.4219 7.4219
angles (deg): 146.41 131.85 59.99
Closest atoms and distances in Å follow each position.
Element x y z (fractional)
Ga 0.0807 0.3326 0.7481  7 Ru 2.61-2.64, 1 Rh 2.64
Ga 0.2465 0.0000 0.2465  6 Ru 2.61-2.62, 2 Rh 2.64
Ga 0.4155 0.6674 0.7481  7 Ru 2.61-2.64, 1 Rh 2.64
Ga 0.5845 0.3326 0.2519  7 Ru 2.61-2.64, 1 Rh 2.64
Ga 0.7535 0.0000 0.7535  6 Ru 2.61-2.62, 2 Rh 2.64
Ga 0.9193 0.6674 0.2519  7 Ru 2.61-2.64, 1 Rh 2.64
Ru 0.0000 0.5000 0.5000  8 Ga 2.61-2.62
Ru 0.1677 0.1677 0.0000  8 Ga 2.61-2.62
Ru 0.3358 0.8358 0.5000  8 Ga 2.61-2.64
Ru 0.6642 0.1642 0.5000  8 Ga 2.61-2.64
Ru 0.8323 0.8323 0.0000  8 Ga 2.61-2.62
Rh 0.5000 0.5000 0.0000  8 Ga 2.64

Summary:
The symmetry is Immm (71).

---

[13]
A relaxed Ga5Ru4Rh crystal. Source: the Alexandria database, functional GGA-PBE.

a b c (Å): 3.0302 3.0302 15.1566
angles (deg): 90.00 90.00 90.00
Closest atoms and distances in Å follow each position.
Element x y z (fractional)
Ga 0.0000 0.0000 0.0000  8 Ru 2.62
Ga 0.0000 0.0000 0.2002  8 Ru 2.62-2.63
Ga 0.0000 0.0000 0.3976  4 Ru 2.60, 4 Rh 2.65
Ga 0.0000 0.0000 0.6024  4 Ru 2.60, 4 Rh 2.65
Ga 0.0000 0.0000 0.7998  8 Ru 2.62-2.63
Ru 0.5000 0.5000 0.1000  8 Ga 2.62-2.63
Ru 0.5000 0.5000 0.3000  8 Ga 2.60-2.62
Ru 0.5000 0.5000 0.7000  8 Ga 2.60-2.62
Ru 0.5000 0.5000 0.9000  8 Ga 2.62-2.63
Rh 0.5000 0.5000 0.5000  8 Ga 2.65

Summary:
The symmetry is P4/mmm (123).

---

[14]
A relaxed Ga6RuRh crystal. Source: the Alexandria database, functional GGA-PBE.

a b c (Å): 6.7719 6.7719 6.7719
angles (deg): 60.03 60.03 60.03
Closest atoms and distances in Å follow each position.
Element x y z (fractional)
Ga 0.2507 0.2507 0.7493  1 Ru 2.39, 1 Rh 2.40
Ga 0.2507 0.7493 0.2507  1 Ru 2.39, 1 Rh 2.40
Ga 0.2507 0.7493 0.7493  1 Ru 2.39, 1 Rh 2.40
Ga 0.7493 0.2507 0.2507  1 Ru 2.39, 1 Rh 2.40
Ga 0.7493 0.2507 0.7493  1 Ru 2.39, 1 Rh 2.40
Ga 0.7493 0.7493 0.2507  1 Ru 2.39, 1 Rh 2.40
Ru 0.5000 0.5000 0.5000  6 Ga 2.39
Rh 0.0000 0.0000 0.0000  6 Ga 2.40

Summary:
The symmetry is R-3m (166).

---

[15]
A relaxed GaRu3Rh crystal. Source: the Alexandria database, functional GGA-PBE.

a b c (Å): 4.4396 4.4396 4.4396
angles (deg): 90.00 90.00 90.00
Closest atoms and distances in Å follow each position.
Element x y z (fractional)
Ga 0.0000 0.0000 0.0000  6 Ru 2.22
Ru 0.0000 0.0000 0.5000  2 Ga 2.22
Ru 0.0000 0.5000 0.0000  2 Ga 2.22
Ru 0.5000 0.0000 0.0000  2 Ga 2.22
Rh 0.5000 0.5000 0.5000  12 Ru 3.14

Summary:
The symmetry is Pm-3m (221).

---

[16]
A relaxed Ga2RuRh crystal. Source: the Alexandria database, functional GGA-PBE.

a b c (Å): 4.2658 4.2658 3.0537
angles (deg): 90.00 90.00 90.00
Closest atoms and distances in Å follow each position.
Element x y z (fractional)
Ga 0.0000 0.5000 0.0000  4 Ru 2.62, 4 Rh 2.62
Ga 0.5000 0.0000 0.0000  4 Ru 2.62, 4 Rh 2.62
Ru 0.0000 0.0000 0.5000  8 Ga 2.62
Rh 0.5000 0.5000 0.5000  8 Ga 2.62

Summary:
The symmetry is P4/mmm (123).

---

[17]
A relaxed Ga4RuRh crystal. Source: the Alexandria database, functional GGA-PBE.

a b c (Å): 6.3812 6.3812 2.9017
angles (deg): 90.00 90.00 90.17
Closest atoms and distances in Å follow each position.
Element x y z (fractional)
Ga 0.2263 0.7737 0.0000  1 Ru 2.47, 2 Rh 2.51
Ga 0.2744 0.2744 0.5000  1 Rh 2.47, 2 Ru 2.50
Ga 0.7256 0.7256 0.5000  1 Rh 2.47, 2 Ru 2.50
Ga 0.7737 0.2263 0.0000  1 Ru 2.47, 2 Rh 2.51
Ru 0.5000 0.5000 0.0000  6 Ga 2.47-2.50
Rh 0.0000 0.0000 0.5000  6 Ga 2.47-2.51

Summary:
The symmetry is Cmmm (65).

---

[18]
A relaxed Ga4RuRh2 crystal. Source: the Alexandria database, functional GGA-PBE.

a b c (Å): 5.1913 5.1913 5.1913
angles (deg): 109.84 109.84 108.74
Closest atoms and distances in Å follow each position.
Element x y z (fractional)
Ga 0.0000 0.0000 0.5000  2 Ru 2.60, 4 Rh 2.60
Ga 0.0000 0.5000 0.0000  2 Ru 2.60, 4 Rh 2.60
Ga 0.5000 0.0000 0.0000  2 Ru 2.60, 4 Rh 2.60
Ga 0.5000 0.5000 0.5000  2 Ru 2.60, 4 Rh 2.60
Ru 0.0000 0.0000 0.0000  8 Ga 2.60
Rh 0.0000 0.5000 0.5000  8 Ga 2.60
Rh 0.5000 0.0000 0.5000  8 Ga 2.60

Summary:
The symmetry is I4/mmm (139).

---

[19]
A relaxed Ga2Ru2Rh crystal. Source: the Alexandria database, functional GGA-PBE.

a b c (Å): 6.9472 6.9472 2.9976
angles (deg): 90.00 90.00 90.00
Closest atoms and distances in Å follow each position.
Element x y z (fractional)
Ga 0.1376 0.3624 0.0000  6 Ru 2.47-2.57, 2 Rh 2.69, 1 Ga 2.70
Ga 0.3624 0.8624 0.0000  6 Ru 2.47-2.57, 2 Rh 2.69, 1 Ga 2.70
Ga 0.6376 0.1376 0.0000  6 Ru 2.47-2.57, 2 Rh 2.69, 1 Ga 2.70
Ga 0.8624 0.6376 0.0000  6 Ru 2.47-2.57, 2 Rh 2.69, 1 Ga 2.70
Ru 0.1624 0.6624 0.5000  6 Ga 2.47-2.57
Ru 0.3376 0.1624 0.5000  6 Ga 2.47-2.57
Ru 0.6624 0.8376 0.5000  6 Ga 2.47-2.57
Ru 0.8376 0.3376 0.5000  6 Ga 2.47-2.57
Rh 0.0000 0.0000 0.0000  4 Ga 2.69, 2 Rh 3.00, 8 Ru 3.00
Rh 0.5000 0.5000 0.0000  4 Ga 2.69, 2 Rh 3.00, 8 Ru 3.00

Summary:
The symmetry is P4/mbm (127).

---

[20]
A relaxed Ga2RuRh crystal. Source: the Alexandria database, functional GGA-PBE.

a b c (Å): 5.5062 5.5062 5.5062
angles (deg): 106.05 106.05 116.56
Closest atoms and distances in Å follow each position.
Element x y z (fractional)
Ga 0.1226 0.6250 0.9976  2 Rh 2.44, 2 Ru 2.46
Ga 0.3750 0.3726 0.4976  2 Rh 2.44, 2 Ru 2.46
Ga 0.6274 0.1250 0.0024  2 Rh 2.44, 2 Ru 2.46
Ga 0.8750 0.8774 0.5024  2 Rh 2.44, 2 Ru 2.46
Ru 0.2500 0.7500 0.5000  4 Ga 2.46
Ru 0.5000 0.5000 0.0000  4 Ga 2.46
Rh 0.0000 0.0000 0.0000  4 Ga 2.44
Rh 0.7500 0.2500 0.5000  4 Ga 2.44

Summary:
The symmetry is I-42d (122).

---

[21]
A relaxed Ga2RuRh2 crystal. Source: the Alexandria database, functional GGA-PBE.

a b c (Å): 7.2220 7.2220 2.8498
angles (deg): 90.00 90.00 90.00
Closest atoms and distances in Å follow each position.
Element x y z (fractional)
Ga 0.1640 0.3360 0.0000  6 Rh 2.49-2.60
Ga 0.3360 0.8360 0.0000  6 Rh 2.49-2.60
Ga 0.6640 0.1640 0.0000  6 Rh 2.49-2.60
Ga 0.8360 0.6640 0.0000  6 Rh 2.49-2.60
Ru 0.0000 0.0000 0.5000  4 Rh 2.81, 2 Ru 2.85, 8 Ga 3.05
Ru 0.5000 0.5000 0.5000  4 Rh 2.81, 2 Ru 2.85, 8 Ga 3.05
Rh 0.1355 0.6355 0.5000  6 Ga 2.49-2.60, 1 Rh 2.77
Rh 0.3645 0.1355 0.5000  6 Ga 2.49-2.60, 1 Rh 2.77
Rh 0.6355 0.8645 0.5000  6 Ga 2.49-2.60, 1 Rh 2.77
Rh 0.8645 0.3645 0.5000  6 Ga 2.49-2.60, 1 Rh 2.77

Summary:
The symmetry is P4/mbm (127).

---

[22]
A relaxed Ga2Ru2Rh crystal. Source: the Alexandria database, functional GGA-PBE.

a b c (Å): 6.7138 6.7138 6.7138
angles (deg): 149.46 149.46 43.74
Closest atoms and distances in Å follow each position.
Element x y z (fractional)
Ga 0.2500 0.7500 0.5000  4 Ga 2.50, 4 Ru 2.57
Ga 0.7500 0.2500 0.5000  4 Ga 2.50, 4 Ru 2.57
Ru 0.1001 0.1001 0.0000  1 Ru 2.50, 4 Ga 2.57
Ru 0.8999 0.8999 0.0000  1 Ru 2.50, 4 Ga 2.57
Rh 0.5000 0.5000 0.0000  8 Ru 2.79

Summary:
The symmetry is I4/mmm (139).

---

[23]
A relaxed GaRuRh6 crystal. Source: the Alexandria database, functional GGA-PBE.

a b c (Å): 3.8390 3.8390 7.6842
angles (deg): 90.00 90.00 90.00
Closest atoms and distances in Å follow each position.
Element x y z (fractional)
Ga 0.0000 0.0000 0.0000  12 Rh 2.71-2.74
Ru 0.0000 0.0000 0.5000  12 Rh 2.69-2.71
Rh 0.0000 0.5000 0.2549  2 Ru 2.69, 8 Rh 2.69-2.74, 2 Ga 2.74
Rh 0.0000 0.5000 0.7451  2 Ru 2.69, 8 Rh 2.69-2.74, 2 Ga 2.74
Rh 0.5000 0.0000 0.2549  2 Ru 2.69, 8 Rh 2.69-2.74, 2 Ga 2.74
Rh 0.5000 0.0000 0.7451  2 Ru 2.69, 8 Rh 2.69-2.74, 2 Ga 2.74
Rh 0.5000 0.5000 0.0000  4 Ga 2.71, 8 Rh 2.74
Rh 0.5000 0.5000 0.5000  8 Rh 2.69, 4 Ru 2.71

Summary:
The symmetry is P4/mmm (123).

---

[24]
A relaxed Ga2Ru2Rh crystal. Source: the Alexandria database, functional GGA-PBE.

a b c (Å): 7.0831 7.0831 2.9627
angles (deg): 90.00 90.00 90.00
Closest atoms and distances in Å follow each position.
Element x y z (fractional)
Ga 0.1709 0.3291 0.0000  6 Ru 2.50-2.60
Ga 0.3291 0.8291 0.0000  6 Ru 2.50-2.60
Ga 0.6709 0.1709 0.0000  6 Ru 2.50-2.60
Ga 0.8291 0.6709 0.0000  6 Ru 2.50-2.60
Ru 0.1286 0.6286 0.5000  6 Ga 2.50-2.60, 1 Ru 2.58, 2 Rh 2.78
Ru 0.3714 0.1286 0.5000  6 Ga 2.50-2.60, 1 Ru 2.58, 2 Rh 2.78
Ru 0.6286 0.8714 0.5000  6 Ga 2.50-2.60, 1 Ru 2.58, 2 Rh 2.78
Ru 0.8714 0.3714 0.5000  6 Ga 2.50-2.60, 1 Ru 2.58, 2 Rh 2.78
Rh 0.0000 0.0000 0.5000  4 Ru 2.78, 2 Rh 2.96, 8 Ga 3.02
Rh 0.5000 0.5000 0.5000  4 Ru 2.78, 2 Rh 2.96, 8 Ga 3.02

Summary:
The symmetry is P4/mbm (127).

---

[25]
A relaxed GaRu3Rh crystal. Source: the Alexandria database, functional GGA-PBE.

a b c (Å): 4.6742 4.6742 4.6742
angles (deg): 90.00 90.00 90.00
Closest atoms and distances in Å follow each position.
Element x y z (fractional)
Ga 0.0000 0.0000 0.0000  12 Ru 3.31
Ru 0.0000 0.5000 0.5000  2 Rh 2.34
Ru 0.5000 0.0000 0.5000  2 Rh 2.34
Ru 0.5000 0.5000 0.0000  2 Rh 2.34
Rh 0.5000 0.5000 0.5000  6 Ru 2.34

Summary:
The symmetry is Pm-3m (221).

---

In the order shown, the computed ΔH_f (0 K) values come out to 995 -346 -481 -328 191 -537 207 -603 -685 152 -284 -378 -387 -224 1495 -536 -213 -519 -83 33 -171 332 -161 -4 1732 meV per atom.